[1]
# PBE CuB3F, optimized geometry
data_CuB3F
_cell_length_a 3.829
_cell_length_b 3.829
_cell_length_c 3.829
_cell_angle_alpha 90.00
_cell_angle_beta 90.00
_cell_angle_gamma 90.00
_symmetry_space_group_name_H-M 'P m -3 m'
_symmetry_Int_Tables_number 221
_symmetry_space_group_name_Hall '-P 4 2 3'
loop_
_atom_site_label
_atom_site_type_symbol
_atom_site_fract_x
_atom_site_fract_y
_atom_site_fract_z
Cu1 Cu 0.000 0.000 0.000
B1 B 0.000 0.000 0.500
F1 F 0.500 0.500 0.500
# Formation energy without anion corrections   1.21 eV/atom
# Relative energy among the computed polymorphs   0.000 eV per atom
# Crystal system   cubic

***

[2]
# PBE BaTe2ClO, optimized geometry
data_BaTe2ClO
_cell_length_a 5.291
_cell_length_b 5.291
_cell_length_c 6.187
_cell_angle_alpha 90.00
_cell_angle_beta 90.00
_cell_angle_gamma 90.00
_symmetry_space_group_name_H-M 'P 4/m m m'
_symmetry_Int_Tables_number 123
_symmetry_space_group_name_Hall '-P 4 2'
loop_
_atom_site_label
_atom_site_type_symbol
_atom_site_fract_x
_atom_site_fract_y
_atom_site_fract_z
Ba1 Ba 0.000 0.000 0.000
Te1 Te 0.000 0.500 0.500
Cl1 Cl 0.000 0.000 0.500
O1 O 0.500 0.500 0.000
# Formation energy without anion corrections   0.06 eV/atom
# Crystal system   tetragonal

***

[3]
# PBE RbTaBRu2, optimized geometry
data_RbTaBRu2
_cell_length_a 4.585
_cell_length_b 4.585
_cell_length_c 4.978
_cell_angle_alpha 90.00
_cell_angle_beta 90.00
_cell_angle_gamma 90.00
_symmetry_space_group_name_H-M 'P 4/m m m'
_symmetry_Int_Tables_number 123
_symmetry_space_group_name_Hall '-P 4 2'
loop_
_atom_site_label
_atom_site_type_symbol
_atom_site_fract_x
_atom_site_fract_y
_atom_site_fract_z
Rb1 Rb 0.000 0.000 0.000
Ta1 Ta 0.000 0.000 0.500
B1 B 0.500 0.500 0.500
Ru1 Ru 0.000 0.500 0.000
# Relative energy among the computed polymorphs   1.542 eV per atom
# Crystal system   tetragonal
# Energy relative to the elements   3.89 eV per atom

***

[4]
# PBE Pm5Y2Tm4, optimized geometry
data_Pm5Y2Tm4
_cell_length_a 3.514
_cell_length_b 9.020
_cell_length_c 23.575
_cell_angle_alpha 90.00
_cell_angle_beta 90.00
_cell_angle_gamma 90.00
_symmetry_space_group_name_H-M 'I m m m'
_symmetry_Int_Tables_number 71
_symmetry_space_group_name_Hall '-I 2 2'
loop_
_atom_site_label
_atom_site_type_symbol
_atom_site_fract_x
_atom_site_fract_y
_atom_site_fract_z
Pm1 Pm 0.000 0.000 0.000
Pm2 Pm 0.000 0.302 0.357
Y1 Y 0.000 0.500 0.231
Tm1 Tm 0.000 0.184 0.500
Tm2 Tm 0.000 0.500 0.096
# Relative energy among the computed polymorphs   0.059 eV per atom
# Crystal system   orthorhombic
# Energy relative to the elements   0.19 eV per atom

***

[5]
# PBE SiC3I, optimized geometry
data_SiC3I
_cell_length_a 4.135
_cell_length_b 4.135
_cell_length_c 4.135
_cell_angle_alpha 90.00
_cell_angle_beta 90.00
_cell_angle_gamma 90.00
_symmetry_space_group_name_H-M 'P m -3 m'
_symmetry_Int_Tables_number 221
_symmetry_space_group_name_Hall '-P 4 2 3'
loop_
_atom_site_label
_atom_site_type_symbol
_atom_site_fract_x
_atom_site_fract_y
_atom_site_fract_z
Si1 Si 0.000 0.000 0.000
C1 C 0.000 0.500 0.500
I1 I 0.500 0.500 0.500
# Formation energy without anion corrections   3.49 eV/atom
# Relative energy among the computed polymorphs   1.200 eV per atom
# Crystal system   cubic

***

[6]
# PBE FeNi2Pt6, optimized geometry
data_FeNi2Pt6
_cell_length_a 8.144
_cell_length_b 8.144
_cell_length_c 3.899
_cell_angle_alpha 90.00
_cell_angle_beta 90.00
_cell_angle_gamma 90.00
_symmetry_space_group_name_H-M 'P 42/m n m'
_symmetry_Int_Tables_number 136
_symmetry_space_group_name_Hall '-P 4n 2n'
loop_
_atom_site_label
_atom_site_type_symbol
_atom_site_fract_x
_atom_site_fract_y
_atom_site_fract_z
Fe1 Fe 0.000 0.000 0.000
Ni1 Ni 0.168 0.168 0.500
Pt1 Pt 0.004 0.325 0.000
Pt2 Pt 0.156 0.844 0.500
# Relative energy among the computed polymorphs   0.000 eV per atom
# Crystal system   tetragonal
# Energy relative to the elements   -0.17 eV per atom

***

[7]
# PBE NaCa2TlS, optimized geometry
data_NaCa2TlS
_cell_length_a 5.395
_cell_length_b 5.395
_cell_length_c 5.305
_cell_angle_alpha 90.00
_cell_angle_beta 90.00
_cell_angle_gamma 90.00
_symmetry_space_group_name_H-M 'P 4/m m m'
_symmetry_Int_Tables_number 123
_symmetry_space_group_name_Hall '-P 4 2'
loop_
_atom_site_label
_atom_site_type_symbol
_atom_site_fract_x
_atom_site_fract_y
_atom_site_fract_z
Na1 Na 0.000 0.000 0.000
Ca1 Ca 0.000 0.500 0.500
Tl1 Tl 0.500 0.500 0.000
S1 S 0.000 0.000 0.500
# Formation energy without anion corrections   -0.79 eV/atom
# Crystal system   tetragonal

***

[8]
# PBE MoAsOs2, optimized geometry
data_MoAsOs2
_cell_length_a 2.922
_cell_length_b 4.452
_cell_length_c 9.064
_cell_angle_alpha 90.00
_cell_angle_beta 90.00
_cell_angle_gamma 90.00
_symmetry_space_group_name_H-M 'I m m m'
_symmetry_Int_Tables_number 71
_symmetry_space_group_name_Hall '-I 2 2'
loop_
_atom_site_label
_atom_site_type_symbol
_atom_site_fract_x
_atom_site_fract_y
_atom_site_fract_z
Mo1 Mo 0.000 0.000 0.000
As1 As 0.000 0.000 0.500
Os1 Os 0.000 0.500 0.223
# Crystal system   orthorhombic
# Energy relative to the elements   0.17 eV per atom

***

[9]
# PBE In2SN, optimized geometry
data_In2SN
_cell_length_a 5.667
_cell_length_b 5.667
_cell_length_c 10.956
_cell_angle_alpha 90.00
_cell_angle_beta 90.00
_cell_angle_gamma 90.00
_symmetry_space_group_name_H-M 'I -4 2 d'
_symmetry_Int_Tables_number 122
_symmetry_space_group_name_Hall 'I -4 2bw'
loop_
_atom_site_label
_atom_site_type_symbol
_atom_site_fract_x
_atom_site_fract_y
_atom_site_fract_z
In1 In 0.183 0.250 0.125
S1 S 0.000 0.000 0.500
N1 N 0.000 0.000 0.000
# Formation energy without anion corrections   -0.05 eV/atom
# Relative energy among the computed polymorphs   0.000 eV per atom
# Crystal system   tetragonal

***

[10]
# PBE La5SmAg4, optimized geometry
data_La5SmAg4
_cell_length_a 3.799
_cell_length_b 3.799
_cell_length_c 20.467
_cell_angle_alpha 90.00
_cell_angle_beta 90.00
_cell_angle_gamma 90.00
_symmetry_space_group_name_H-M 'P 4/m m m'
_symmetry_Int_Tables_number 123
_symmetry_space_group_name_Hall '-P 4 2'
loop_
_atom_site_label
_atom_site_type_symbol
_atom_site_fract_x
_atom_site_fract_y
_atom_site_fract_z
La1 La 0.000 0.000 0.000
La2 La 0.000 0.000 0.190
La3 La 0.000 0.000 0.378
Sm1 Sm 0.500 0.500 0.500
Ag1 Ag 0.500 0.500 0.095
Ag2 Ag 0.500 0.500 0.285
# Crystal system   tetragonal
# Energy relative to the elements   -0.20 eV per atom

***

[11]
# PBE In2PbBr, optimized geometry
data_In2PbBr
_cell_length_a 4.596
_cell_length_b 4.596
_cell_length_c 11.511
_cell_angle_alpha 90.00
_cell_angle_beta 90.00
_cell_angle_gamma 90.00
_symmetry_space_group_name_H-M 'I 4/m m m'
_symmetry_Int_Tables_number 139
_symmetry_space_group_name_Hall '-I 4 2'
loop_
_atom_site_label
_atom_site_type_symbol
_atom_site_fract_x
_atom_site_fract_y
_atom_site_fract_z
In1 In 0.000 0.500 0.250
Pb1 Pb 0.000 0.000 0.000
Br1 Br 0.000 0.000 0.500
# Formation energy without anion corrections   -0.10 eV/atom
# Relative energy among the computed polymorphs   0.120 eV per atom
# Crystal system   tetragonal

***

[12]
# PBE RbAg3I, optimized geometry
data_RbAg3I
_cell_length_a 5.782
_cell_length_b 5.782
_cell_length_c 5.782
_cell_angle_alpha 90.00
_cell_angle_beta 90.00
_cell_angle_gamma 90.00
_symmetry_space_group_name_H-M 'P m -3 m'
_symmetry_Int_Tables_number 221
_symmetry_space_group_name_Hall '-P 4 2 3'
loop_
_atom_site_label
_atom_site_type_symbol
_atom_site_fract_x
_atom_site_fract_y
_atom_site_fract_z
Rb1 Rb 0.000 0.000 0.000
Ag1 Ag 0.000 0.500 0.500
I1 I 0.500 0.500 0.500
# Formation energy without anion corrections   0.47 eV/atom
# Relative energy among the computed polymorphs   0.000 eV per atom
# Crystal system   cubic

***

[13]
# PBE Sr2ScPb, optimized geometry
data_Sr2ScPb
_cell_length_a 4.841
_cell_length_b 4.936
_cell_length_c 12.930
_cell_angle_alpha 90.00
_cell_angle_beta 90.00
_cell_angle_gamma 90.00
_symmetry_space_group_name_H-M 'A m m 2'
_symmetry_Int_Tables_number 38
_symmetry_space_group_name_Hall 'A 2 -2'
loop_
_atom_site_label
_atom_site_type_symbol
_atom_site_fract_x
_atom_site_fract_y
_atom_site_fract_z
Sr1 Sr 0.000 0.000 0.000
Sr2 Sr 0.500 0.000 0.296
Sc1 Sc 0.500 0.000 0.597
Pb1 Pb 0.000 0.000 0.720
# Crystal system   orthorhombic
# Energy relative to the elements   -0.15 eV per atom